No. 1
SiAgW: relaxed, PBE.

Cell and atoms, written as POSCAR:
```
SiAgW
1.0
4.323 0.000 0.000
2.162 3.744 0.000
2.162 1.248 3.530
Ag Si W
1 1 1
Cartesian
0.000 0.000 0.000 Ag
4.323 2.496 1.765 Si
6.485 3.744 2.648 W
```

Summary:
- density of states at the Fermi level (states/eV per cell) = 3.99
- E above lowest polymorph (meV/atom) = 810
- crystal system = cubic
- formation energy without anion corrections (eV/atom) = 0.9404
- uncorrected energy (eV per atom) = -6.1354
- size of the total moment (μB per formula unit) = 1.44
- SG = No. 216


No. 2
Ba2CaTe: relaxed, PBE.

Cell and atoms, written as POSCAR:
```
Ba2CaTe
1.0
-9.376 2.982 3.489
-3.274 -9.907 -0.331
-5.164 -3.965 5.128
Ca Te Ba
2 2 4
Cartesian
-6.325 -3.462 1.579 Ca
-7.382 -8.667 3.188 Ca
0.000 0.000 0.000 Te
-10.433 -2.223 5.098 Te
-8.184 -0.168 3.653 Ba
-3.886 -7.008 1.279 Ba
-8.399 -4.912 5.052 Ba
-15.160 -9.691 6.587 Ba
```

Summary:
- density of states at the Fermi level (states/eV per cell) = 6.14
- crystal system = tetragonal
- formation energy without anion corrections (eV/atom) = -0.5452
- uncorrected energy (eV per atom) = -2.7924
- size of the total moment (μB per formula unit) = 0.00
- SG = No. 122


No. 3
Y2BiIO8: relaxed, PBE.

Cell and atoms, written as POSCAR:
```
Y2BiIO8
1.0
-2.189 -2.027 -4.092
-2.005 -3.610 2.925
-5.632 3.974 1.045
Y Bi I O
2 1 1 8
Cartesian
-6.318 0.160 0.200 Y
-3.508 -1.823 -0.322 Y
-2.816 1.987 0.523 Bi
0.000 0.000 0.000 I
-3.171 -2.517 1.861 O
-8.701 -0.152 0.195 O
-3.294 -1.517 -2.607 O
-6.655 0.854 -1.984 O
-1.125 -1.511 -0.318 O
-6.532 -0.146 2.485 O
-5.689 -1.875 -0.275 O
-4.137 0.211 0.153 O
```

Summary:
- crystal system = orthorhombic
- formation energy without anion corrections (eV/atom) = -1.8321
- uncorrected energy (eV per atom) = -6.6675
- size of the total moment (μB per formula unit) = 0.00
- SG = No. 65


No. 4
HoVH: relaxed, PBE.

Cell and atoms, written as POSCAR:
```
HoVH
1.0
3.465 0.000 0.000
0.000 3.465 0.000
0.000 0.000 8.198
H Ho V
2 2 2
Cartesian
0.000 1.733 3.234 H
1.733 0.000 4.964 H
0.000 1.733 6.828 Ho
1.733 0.000 1.369 Ho
1.733 1.733 4.099 V
0.000 0.000 4.099 V
```

Summary:
- density of states at the Fermi level (states/eV per cell) = 6.50
- crystal system = tetragonal
- uncorrected energy (eV per atom) = -5.5101
- size of the total moment (μB per formula unit) = 0.00
- SG = No. 129


No. 5
BaLiAl2: relaxed, PBE.

Cell and atoms, written as POSCAR:
```
BaLiAl2
1.0
-4.268 -3.010 0.532
-0.069 -0.687 -4.437
2.614 -3.614 0.519
Al Ba Li
2 1 1
Cartesian
0.000 0.000 0.000 Al
1.273 -2.151 -1.959 Al
-2.168 -1.849 -1.952 Ba
-0.827 -3.312 0.526 Li
```

Summary:
- energy relative to the elements (eV per atom) = 0.18
- density of states at the Fermi level (states/eV per cell) = 3.99
- E above lowest polymorph (meV/atom) = 355
- crystal system = tetragonal
- uncorrected energy (eV per atom) = -2.6532
- size of the total moment (μB per formula unit) = 0.00
- SG = No. 123


No. 6
Zr2OsPd: relaxed, PBE.

Cell and atoms, written as POSCAR:
```
Zr2OsPd
1.0
4.932 -1.487 -2.972
-1.217 5.005 2.972
-3.420 -0.109 4.864
Zr Os Pd
2 1 1
Cartesian
-1.178 1.244 1.990 Zr
-3.459 3.652 5.845 Zr
-2.319 2.448 3.918 Os
0.000 0.000 0.000 Pd
```

Summary:
- energy relative to the elements (eV per atom) = 0.41
- density of states at the Fermi level (states/eV per cell) = 2.49
- crystal system = orthorhombic
- uncorrected energy (eV per atom) = -7.9659
- size of the total moment (μB per formula unit) = 0.00
- SG = No. 71


No. 7
BaCd8In2: relaxed, PBE.

Cell and atoms, written as POSCAR:
```
BaCd8In2
1.0
7.637 0.000 0.000
0.000 7.637 0.000
0.000 0.000 5.812
Ba Cd In
1 8 2
Cartesian
3.818 3.818 2.906 Ba
6.113 6.113 1.480 Cd
6.113 1.524 4.332 Cd
6.113 6.113 4.332 Cd
6.113 1.524 1.480 Cd
1.524 6.113 1.480 Cd
1.524 6.113 4.332 Cd
1.524 1.524 1.480 Cd
1.524 1.524 4.332 Cd
3.818 0.000 0.000 In
0.000 3.818 0.000 In
```

Summary:
- energy relative to the elements (eV per atom) = 0.04
- density of states at the Fermi level (states/eV per cell) = 3.20
- E above lowest polymorph (meV/atom) = 94
- crystal system = tetragonal
- uncorrected energy (eV per atom) = -1.2995
- size of the total moment (μB per formula unit) = 0.00
- SG = No. 123


No. 8
FeBiI: relaxed, PBE.

Cell and atoms, written as POSCAR:
```
FeBiI
1.0
6.734 0.000 0.195
0.000 3.889 0.000
-0.327 0.000 6.746
I Bi Fe
2 2 2
Cartesian
0.920 0.000 2.399 I
4.310 1.944 1.319 I
0.623 1.944 5.777 Bi
3.993 1.944 4.673 Bi
2.658 0.000 0.256 Fe
2.149 0.000 4.671 Fe
```

Summary:
- density of states at the Fermi level (states/eV per cell) = 4.58
- E above lowest polymorph (meV/atom) = 19
- crystal system = monoclinic
- formation energy without anion corrections (eV/atom) = 0.1593
- uncorrected energy (eV per atom) = -4.4719
- size of the total moment (μB per formula unit) = 2.49
- SG = No. 6